Entry 1:
A plane-wave DFT calculation with PBE was carried out for RbTeI3 after structural relaxation.

Structure (extended XYZ):
```
10
Lattice="-6.340 9.638 -5.675 1.126 -6.070 11.277 4.625 4.056 1.721" Properties=species:S:1:pos:R:3 pbc="T T T"
Rb 1.272 -2.931 9.414
I 1.016 6.668 -0.663
I 1.447 -1.133 4.707
I 2.313 2.028 0.861
I 0.000 0.000 0.000
Rb -1.861 10.555 -2.091
I -2.036 8.757 2.616
Te -0.082 6.812 1.949
Te -0.507 0.812 5.375
I -1.604 0.956 7.986
```

Output
total DFT energy (no corrections): -21.94 eV per cell
energy above the lowest structure with this stoichiometry: 0.2048 eV per atom
density of states at the Fermi level: 4.60 states/eV per cell
raw formation energy: -0.442 eV per atom
SG: Cmcm

Entry 2:
A plane-wave DFT calculation with PBE was carried out for RbTeI3 after structural relaxation.

Structure (extended XYZ):
```
20
Lattice="0.000 8.357 8.357 8.357 0.000 8.357 8.357 8.357 0.000" Properties=species:S:1:pos:R:3 pbc="T T T"
Rb 6.268 2.089 6.268
I 5.220 8.357 8.357
Rb 2.089 2.089 2.089
I 12.536 12.536 9.398
Te 10.446 10.446 10.446
Te 6.268 10.446 6.268
I 12.536 9.398 12.536
I 9.398 12.536 12.536
Te 6.268 6.268 10.446
I 8.357 8.357 11.495
I 12.536 12.536 15.673
Te 10.446 6.268 6.268
Rb 2.089 6.268 6.268
I 12.536 15.673 12.536
I 11.495 8.357 8.357
I 15.673 12.536 12.536
I 8.357 11.495 8.357
I 8.357 8.357 5.220
Rb 6.268 6.268 2.089
I 8.357 5.220 8.357
```

Output
total DFT energy (no corrections): -43.36 eV per cell
energy above the lowest structure with this stoichiometry: 0.2311 eV per atom
density of states at the Fermi level: 15.39 states/eV per cell
raw formation energy: -0.416 eV per atom
SG: Fd-3m

Entry 3:
A plane-wave DFT calculation with PBE was carried out for RbTeI3 after structural relaxation.

Structure (extended XYZ):
```
10
Lattice="4.673 -2.698 0.000 0.000 5.396 0.000 0.000 0.000 17.514" Properties=species:S:1:pos:R:3 pbc="T T T"
I 0.000 0.000 4.379
I 3.115 0.000 15.478
Te 1.558 2.698 13.136
Te 3.115 0.000 4.379
I 1.558 2.698 2.036
Rb 0.000 0.000 8.757
Rb 0.000 0.000 0.000
I 1.558 2.698 6.721
I 0.000 0.000 13.136
I 3.115 0.000 10.793
```

Output
total DFT energy (no corrections): -20.62 eV per cell
energy above the lowest structure with this stoichiometry: 0.3366 eV per atom
density of states at the Fermi level: 19.64 states/eV per cell
raw formation energy: -0.311 eV per atom
SG: P6_3/mmc

Entry 4:
A plane-wave DFT calculation with PBE was carried out for RbTeI3 after structural relaxation.

Structure (extended XYZ):
```
10
Lattice="-1.156 5.472 -1.476 -9.264 -2.574 -2.291 -1.452 -3.402 9.695" Properties=species:S:1:pos:R:3 pbc="T T T"
I -10.587 -2.076 4.686
I -6.905 -1.053 5.596
Te -7.752 -0.238 -0.367
I -4.967 0.549 0.332
Te -4.119 -0.266 6.295
Rb -2.896 -1.435 2.662
I -4.469 2.327 4.797
I -7.402 -2.831 1.131
Rb -8.976 0.931 3.266
I -1.285 1.572 1.242
```

Output
total DFT energy (no corrections): -23.61 eV per cell
energy above the lowest structure with this stoichiometry: 0.0385 eV per atom
density of states at the Fermi level: 0.00 states/eV per cell
raw formation energy: -0.609 eV per atom
SG: P2_1/m